1.
This record from Alexandria describes crystalline TbSm2Y4 at its relaxed geometry. The functional is PBE.

Structure (POSCAR):
```
TbSm2Y4
1.0
-6.495 -0.650 -7.003
6.116 -4.977 -3.906
-5.955 -0.795 5.913
Y Sm Tb
8 4 2
Direct
0.849 0.597 0.121 Y
0.685 0.684 0.785 Y
0.202 0.853 0.436 Y
0.557 0.806 0.477 Y
0.405 0.124 0.333 Y
0.333 0.729 0.728 Y
0.911 0.044 0.778 Y
0.044 0.941 0.093 Y
0.489 0.392 0.869 Sm
0.136 0.402 0.763 Sm
0.629 0.247 0.120 Sm
0.767 0.144 0.460 Sm
0.980 0.496 0.440 Tb
0.262 0.289 0.097 Tb
```

Calculated values
Relative energy among the computed polymorphs, meV per atom: 29
ΔE_f, eV per atom: 0.067
Volume, Å³/cell: 461.4
Uncorrected energy, eV for the cell shown: -78.91
Space-group type: P1

2.
This record from Alexandria describes crystalline Er2Si3Pd5 at its relaxed geometry. The functional is PBE.

Structure (POSCAR):
```
Er2Si3Pd5
1.0
4.144 0.000 -0.706
0.000 6.685 0.000
-0.057 0.000 12.181
Er Pd Si
4 10 6
Direct
0.174 0.755 0.348 Er
0.523 0.223 0.047 Er
0.826 0.255 0.652 Er
0.477 0.723 0.953 Er
0.875 0.723 0.749 Pd
0.594 0.833 0.189 Pd
0.700 0.079 0.401 Pd
0.054 0.558 0.109 Pd
0.279 0.996 0.558 Pd
0.406 0.333 0.811 Pd
0.721 0.496 0.442 Pd
0.946 0.058 0.891 Pd
0.125 0.223 0.251 Pd
0.300 0.579 0.599 Pd
0.381 0.967 0.762 Si
0.619 0.467 0.238 Si
0.050 0.933 0.099 Si
0.950 0.433 0.901 Si
0.773 0.800 0.546 Si
0.227 0.300 0.454 Si
```

Calculated values
Raw formation energy, eV/f.u.: -8.61
Volume, Å³/cell: 337.2
Uncorrected energy, eV for the cell shown: -119.94
Space-group type: Cmc2_1

3.
This record from Alexandria describes crystalline BiSbAsI2 at its relaxed geometry. The functional is PBE.

Structure (POSCAR):
```
BiSbAsI2
1.0
6.087 0.000 0.000
0.000 6.087 0.000
0.000 0.000 6.253
I Sb As Bi
2 1 1 1
Direct
0.000 0.500 0.000 I
0.500 0.000 0.000 I
0.000 0.000 0.500 Sb
0.500 0.500 0.500 As
0.000 0.000 0.000 Bi
```

Calculated values
Relative energy among the computed polymorphs, meV per atom: 248
Raw formation energy, eV/f.u.: 3.39
Volume, Å³/cell: 231.7
Uncorrected energy, eV for the cell shown: -12.36
Space-group type: P4/mmm

4.
This record from Alexandria describes crystalline ScIBr3 at its relaxed geometry. The functional is PBE.

Structure (POSCAR):
```
ScIBr3
1.0
-1.843 -3.233 -7.307
3.668 -5.475 1.497
-6.940 -3.692 3.501
Br I Sc
6 2 2
Direct
0.777 0.500 0.998 Br
0.000 0.750 0.622 Br
0.000 0.250 0.378 Br
0.223 0.500 0.002 Br
0.777 0.000 0.998 Br
0.223 0.000 0.002 Br
0.501 0.250 0.485 I
0.499 0.750 0.515 I
0.000 0.750 0.904 Sc
0.000 0.250 0.096 Sc
```

Calculated values
Relative energy among the computed polymorphs, meV per atom: 140
Raw formation energy, eV/f.u.: -5.99
Volume, Å³/cell: 476.9
Uncorrected energy, eV for the cell shown: -37.77
Space-group type: P2_1/m

5.
This record from Alexandria describes crystalline CeTl2I3Cl3 at its relaxed geometry. The functional is PBE.

Structure (POSCAR):
```
CeTl2I3Cl3
1.0
4.174 0.000 0.000
0.000 8.991 0.000
0.000 -4.495 7.786
Cl I Tl Ce
3 3 2 1
Direct
0.500 0.000 0.786 Cl
0.500 0.214 0.214 Cl
0.500 0.786 0.000 Cl
0.000 0.611 0.611 I
0.000 0.389 0.000 I
0.000 0.000 0.389 I
0.500 0.667 0.333 Tl
0.500 0.333 0.667 Tl
0.000 0.000 0.000 Ce
```

Calculated values
Raw formation energy, eV/f.u.: -11.01
Volume, Å³/cell: 292.2
Uncorrected energy, eV for the cell shown: -31.87
Space-group type: P-62m

6.
This record from Alexandria describes crystalline Sm5Tl2Ag2 at its relaxed geometry. The functional is PBE.

Structure (POSCAR):
```
Sm5Tl2Ag2
1.0
-1.034 1.859 -7.165
-6.724 -5.475 -0.450
-1.677 8.738 2.510
Tl Sm Ag
4 10 4
Direct
0.500 0.710 0.421 Tl
0.000 0.210 0.421 Tl
0.000 0.790 0.579 Tl
0.500 0.290 0.579 Tl
0.656 0.317 0.268 Sm
0.844 0.549 0.732 Sm
0.656 0.049 0.732 Sm
0.844 0.817 0.268 Sm
0.000 0.000 0.000 Sm
0.500 0.500 0.000 Sm
0.156 0.451 0.268 Sm
0.344 0.683 0.732 Sm
0.344 0.951 0.268 Sm
0.156 0.183 0.732 Sm
0.874 0.373 0.000 Ag
0.374 0.127 0.000 Ag
0.626 0.873 0.000 Ag
0.126 0.627 0.000 Ag
```

Calculated values
ΔE_f, eV per atom: -0.227
Volume, Å³/cell: 529.6
Uncorrected energy, eV for the cell shown: -72.15
Space-group type: Cmce

7.
This record from Alexandria describes crystalline Tb5CeHo6 at its relaxed geometry. The functional is PBE.

Structure (POSCAR):
```
Tb5CeHo6
1.0
-0.388 4.994 0.103
-8.661 -0.580 -4.944
0.822 -2.629 8.956
Ho Tb Ce
6 5 1
Direct
0.166 0.916 0.331 Ho
0.500 0.752 0.000 Ho
0.834 0.585 0.669 Ho
0.500 0.248 0.000 Ho
0.834 0.084 0.669 Ho
0.166 0.415 0.331 Ho
0.334 0.834 0.667 Tb
0.333 0.333 0.666 Tb
0.666 0.166 0.333 Tb
0.000 0.500 0.000 Tb
0.667 0.667 0.334 Tb
0.000 0.000 0.000 Ce
```

Calculated values
ΔE_f, eV per atom: 0.036
Volume, Å³/cell: 376.5
Uncorrected energy, eV for the cell shown: -56.12
Space-group type: Immm

8.
This record from Alexandria describes crystalline La2PmHoEr at its relaxed geometry. The functional is PBE.

Structure (POSCAR):
```
La2PmHoEr
1.0
7.367 0.000 0.000
0.000 8.494 0.000
0.000 -4.247 5.848
La Pm Er Ho
4 2 2 2
Direct
0.500 0.695 0.000 La
0.000 0.305 0.000 La
0.500 0.305 0.000 La
0.000 0.695 0.000 La
0.750 0.277 0.555 Pm
0.250 0.723 0.445 Pm
0.250 0.259 0.519 Er
0.750 0.741 0.481 Er
0.750 0.014 0.028 Ho
0.250 0.986 0.972 Ho
```

Calculated values
ΔE_f, eV per atom: 0.401
Volume, Å³/cell: 365.9
Uncorrected energy, eV for the cell shown: -43.49
Space-group type: Cmcm